Record 1
A plane-wave DFT calculation with PBE was carried out for a relaxed structure of TcCN2.

Structure (POSCAR):
```
TcCN2
1.0
1.445 0.834 5.292
-1.445 0.834 5.292
0.000 -1.668 5.292
Tc C N
1 1 2
direct
0.000 0.000 0.000
0.500 0.500 0.500
0.421 0.421 0.421
0.579 0.579 0.579
```

Uncorrected formation energy (meV/atom): 377
N(E_F) (states/eV/cell): 1.88
E (eV/atom): -8.68
Space group: No. 166
V (Å³ per cell): 38.3

=====

Record 2
A plane-wave DFT calculation with PBE was carried out for a relaxed structure of Tc2CN.

Structure (POSCAR):
```
Tc2CN
1.0
-2.299 2.299 4.621
2.299 -2.299 4.621
2.299 2.299 -4.621
Tc C N
4 2 2
direct
0.121 0.625 0.996
0.375 0.371 0.496
0.629 0.125 0.004
0.875 0.879 0.504
0.250 0.750 0.500
0.500 0.500 0.000
0.000 0.000 0.000
0.750 0.250 0.500
```

Uncorrected formation energy (meV/atom): 300
N(E_F) (states/eV/cell): 5.80
E (eV/atom): -9.27
Space group: No. 122
Distance to the lowest polymorph of the same formula (meV/atom): 0
V (Å³ per cell): 97.7

=====

Record 3
A plane-wave DFT calculation with PBE was carried out for a relaxed structure of TcCN3.

Structure (POSCAR):
```
TcCN3
1.0
3.848 0.000 0.000
0.000 3.848 0.000
0.000 0.000 3.848
Tc C N
1 1 3
direct
0.000 0.000 0.000
0.500 0.500 0.500
0.000 0.000 0.500
0.000 0.500 0.000
0.500 0.000 0.000
```

Uncorrected formation energy (meV/atom): 2408
N(E_F) (states/eV/cell): 5.83
E (eV/atom): -6.50
Space group: No. 221
V (Å³ per cell): 57.0

=====

Record 4
A plane-wave DFT calculation with PBE was carried out for a relaxed structure of Th8Te4C3N.

Structure (POSCAR):
```
Th8Te4C3N
1.0
3.909 2.257 7.429
-3.909 2.257 7.429
0.000 -4.513 7.429
Th Te C N
8 4 3 1
direct
0.228 0.228 0.228
0.230 0.727 0.727
0.273 0.273 0.770
0.273 0.770 0.273
0.727 0.230 0.727
0.727 0.727 0.230
0.770 0.273 0.273
0.772 0.772 0.772
0.000 0.000 0.000
0.000 0.500 0.500
0.500 0.000 0.500
0.500 0.500 0.000
0.000 0.000 0.500
0.000 0.500 0.000
0.500 0.000 0.000
0.500 0.500 0.500
```

Uncorrected formation energy (meV/atom): -935
N(E_F) (states/eV/cell): 6.16
E (eV/atom): -7.68
Space group: No. 166
V (Å³ per cell): 393.1

=====

Record 5
A plane-wave DFT calculation with PBE was carried out for a relaxed structure of Th4Te2CN.

Structure (POSCAR):
```
Th4Te2CN
1.0
6.729 0.000 0.000
0.000 3.896 0.000
-2.253 0.000 7.407
Th Te C N
4 2 1 1
direct
0.226 0.000 0.184
0.270 0.500 0.816
0.730 0.500 0.184
0.774 0.000 0.816
0.000 0.000 0.500
0.500 0.500 0.500
0.500 0.000 0.000
0.000 0.500 0.000
```

Uncorrected formation energy (meV/atom): -1036
N(E_F) (states/eV/cell): 5.32
E (eV/atom): -7.73
Space group: No. 10
V (Å³ per cell): 194.2

=====

Record 6
A plane-wave DFT calculation with PBE was carried out for a relaxed structure of Th3TeCN.

Structure (POSCAR):
```
Th3TeCN
1.0
8.399 0.000 0.000
0.000 3.979 0.000
-2.676 0.000 8.820
Th Te C N
6 2 2 2
direct
0.046 0.250 0.356
0.304 0.250 0.951
0.370 0.750 0.634
0.630 0.250 0.366
0.696 0.750 0.049
0.954 0.750 0.644
0.303 0.750 0.257
0.697 0.250 0.743
0.168 0.250 0.647
0.832 0.750 0.353
0.415 0.750 0.897
0.585 0.250 0.103
```

Uncorrected formation energy (meV/atom): -991
N(E_F) (states/eV/cell): 8.22
E (eV/atom): -8.15
Space group: No. 11
V (Å³ per cell): 294.8

=====

Record 7
A plane-wave DFT calculation with PBE was carried out for a relaxed structure of TiTe2CN.

Structure (POSCAR):
```
TiTe2CN
1.0
6.103 0.000 0.000
0.000 6.103 0.000
0.000 0.000 2.637
Ti Te C N
1 2 1 1
direct
0.000 0.000 0.000
0.000 0.500 0.500
0.500 0.000 0.500
0.500 0.500 0.500
0.500 0.500 0.000
```

Uncorrected formation energy (meV/atom): 940
N(E_F) (states/eV/cell): 3.73
E (eV/atom): -5.41
Space group: No. 123
Distance to the lowest polymorph of the same formula (meV/atom): 0
V (Å³ per cell): 98.2

=====

Record 8
A plane-wave DFT calculation with PBE was carried out for a relaxed structure of TiTeCN2.

Structure (POSCAR):
```
TiTeCN2
1.0
3.730 0.000 0.000
0.000 3.730 0.000
0.000 0.000 6.181
Ti Te C N
1 1 1 2
direct
0.000 0.000 0.000
0.000 0.000 0.500
0.500 0.500 0.500
0.000 0.500 0.000
0.500 0.000 0.000
```

Uncorrected formation energy (meV/atom): 1375
N(E_F) (states/eV/cell): 2.54
E (eV/atom): -6.01
Space group: No. 123
Distance to the lowest polymorph of the same formula (meV/atom): 0
V (Å³ per cell): 86.0

=====

Record 9
A plane-wave DFT calculation with PBE was carried out for a relaxed structure of TiTe2CN.

Structure (POSCAR):
```
TiTe2CN
1.0
5.417 0.000 0.000
0.000 5.417 0.000
0.000 0.000 3.706
Ti Te C N
1 2 1 1
direct
0.000 0.000 0.000
0.000 0.500 0.000
0.500 0.000 0.000
0.500 0.500 0.500
0.000 0.000 0.500
```

Uncorrected formation energy (meV/atom): 1286
N(E_F) (states/eV/cell): 3.99
E (eV/atom): -5.06
Space group: No. 123
Distance to the lowest polymorph of the same formula (meV/atom): 346
V (Å³ per cell): 108.7

=====

Record 10
A plane-wave DFT calculation with PBE was carried out for a relaxed structure of TiTeCN2.

Structure (POSCAR):
```
TiTeCN2
1.0
3.839 0.000 0.000
0.000 3.839 0.000
0.000 0.000 4.255
Ti Te C N
1 1 1 2
direct
0.000 0.000 0.000
0.500 0.500 0.000
0.500 0.500 0.500
0.000 0.500 0.500
0.500 0.000 0.500
```

Uncorrected formation energy (meV/atom): 1963
N(E_F) (states/eV/cell): 5.33
E (eV/atom): -5.42
Space group: No. 123
Distance to the lowest polymorph of the same formula (meV/atom): 589
V (Å³ per cell): 62.7

=====

Record 11
A plane-wave DFT calculation with PBE was carried out for a relaxed structure of TlTe2CN.

Structure (POSCAR):
```
TlTe2CN
1.0
6.793 0.000 0.000
0.000 6.793 0.000
0.000 0.000 2.689
Tl Te C N
1 2 1 1
direct
0.000 0.000 0.000
0.000 0.500 0.500
0.500 0.000 0.500
0.500 0.500 0.500
0.500 0.500 0.000
```

Uncorrected formation energy (meV/atom): 818
N(E_F) (states/eV/cell): 1.60
E (eV/atom): -4.42
Space group: No. 123
Distance to the lowest polymorph of the same formula (meV/atom): 0
V (Å³ per cell): 124.1

=====

Record 12
A plane-wave DFT calculation with PBE was carried out for a relaxed structure of TlTeCN2.

Structure (POSCAR):
```
TlTeCN2
1.0
4.130 0.000 0.000
0.000 4.130 0.000
0.000 0.000 6.871
Tl Te C N
1 1 1 2
direct
0.000 0.000 0.000
0.000 0.000 0.500
0.500 0.500 0.500
0.000 0.500 0.000
0.500 0.000 0.000
```

Uncorrected formation energy (meV/atom): 2960
N(E_F) (states/eV/cell): 2.58
E (eV/atom): -3.32
Space group: No. 123
Distance to the lowest polymorph of the same formula (meV/atom): 565
V (Å³ per cell): 117.2